Entry 1:
! BaSeN2O, relaxed, DFT PBE; values from VASP
&SYSTEM
  ibrav = 0, nat = 5, ntyp = 4
/
ATOMIC_SPECIES
O 16.00 O.upf
Ba 137.33 Ba.upf
Se 78.96 Se.upf
N 14.01 N.upf
CELL_PARAMETERS angstrom
5.409 0.000 0.000
0.000 5.409 0.000
0.000 0.000 6.617
ATOMIC_POSITIONS angstrom
O 2.705 2.705 3.308
Ba 0.000 0.000 0.000
Se 0.000 0.000 3.308
N 0.000 2.705 0.000
N 2.705 0.000 0.000
! Formation energy without anion corrections (eV/atom): 1.915
! Magnetization (μB/f.u.): 8.00

Entry 2:
! BaSe2NO, relaxed, DFT PBE; values from VASP
&SYSTEM
  ibrav = 0, nat = 5, ntyp = 4
/
ATOMIC_SPECIES
O 16.00 O.upf
Ba 137.33 Ba.upf
Se 78.96 Se.upf
N 14.01 N.upf
CELL_PARAMETERS angstrom
-2.936 -2.984 0.488
2.562 -2.817 -1.807
2.250 -1.348 5.293
ATOMIC_POSITIONS angstrom
O 0.000 0.000 0.000
Ba 0.938 -3.574 1.987
Se 1.281 -1.408 -0.903
Se -1.468 -1.492 0.244
N 1.125 -0.674 2.646
! Formation energy without anion corrections (eV/atom): 0.228
! Magnetization (μB/f.u.): 2.29
! ΔE to the lowest computed polymorph (meV/atom): 0

Entry 3:
! BaSeN2O, relaxed, DFT PBE; values from VASP
&SYSTEM
  ibrav = 0, nat = 5, ntyp = 4
/
ATOMIC_SPECIES
O 16.00 O.upf
Ba 137.33 Ba.upf
Se 78.96 Se.upf
N 14.01 N.upf
CELL_PARAMETERS angstrom
4.601 0.000 0.000
0.000 4.098 0.000
0.000 0.000 4.601
ATOMIC_POSITIONS angstrom
O 0.000 0.000 0.000
Ba 2.300 2.049 2.300
Se 0.000 2.049 0.000
N 0.000 0.000 2.300
N 2.300 0.000 0.000
! Formation energy without anion corrections (eV/atom): 1.142
! Magnetization (μB/f.u.): 3.65

Entry 4:
! BaSiNO2, relaxed, DFT PBE; values from VASP
&SYSTEM
  ibrav = 0, nat = 5, ntyp = 4
/
ATOMIC_SPECIES
Si 28.09 Si.upf
Ba 137.33 Ba.upf
O 16.00 O.upf
N 14.01 N.upf
CELL_PARAMETERS angstrom
3.912 0.000 0.000
0.000 3.912 0.000
0.000 0.000 3.801
ATOMIC_POSITIONS angstrom
Si 0.000 0.000 0.000
Ba 1.956 1.956 1.900
O 0.000 1.956 0.000
O 1.956 0.000 0.000
N 0.000 0.000 1.900
! Formation energy without anion corrections (eV/atom): -1.510
! Magnetization (μB/f.u.): 1.00

Please write out number 2 again, unchanged.
! BaSe2NO, relaxed, DFT PBE; values from VASP
&SYSTEM
  ibrav = 0, nat = 5, ntyp = 4
/
ATOMIC_SPECIES
O 16.00 O.upf
Ba 137.33 Ba.upf
Se 78.96 Se.upf
N 14.01 N.upf
CELL_PARAMETERS angstrom
-2.936 -2.984 0.488
2.562 -2.817 -1.807
2.250 -1.348 5.293
ATOMIC_POSITIONS angstrom
O 0.000 0.000 0.000
Ba 0.938 -3.574 1.987
Se 1.281 -1.408 -0.903
Se -1.468 -1.492 0.244
N 1.125 -0.674 2.646
! Formation energy without anion corrections (eV/atom): 0.228
! Magnetization (μB/f.u.): 2.29
! ΔE to the lowest computed polymorph (meV/atom): 0

What did the first record say?
! BaSeN2O, relaxed, DFT PBE; values from VASP
&SYSTEM
  ibrav = 0, nat = 5, ntyp = 4
/
ATOMIC_SPECIES
O 16.00 O.upf
Ba 137.33 Ba.upf
Se 78.96 Se.upf
N 14.01 N.upf
CELL_PARAMETERS angstrom
5.409 0.000 0.000
0.000 5.409 0.000
0.000 0.000 6.617
ATOMIC_POSITIONS angstrom
O 2.705 2.705 3.308
Ba 0.000 0.000 0.000
Se 0.000 0.000 3.308
N 0.000 2.705 0.000
N 2.705 0.000 0.000
! Formation energy without anion corrections (eV/atom): 1.915
! Magnetization (μB/f.u.): 8.00

Q: The highest magnetization belongs to which entry?
A: number 1

Q: Which formula does entry 1 have?
A: BaSeN2O